# PBE InGeI2, relaxed
data_InGeI2
_chemical_formula_sum 'In4 Ge4 I8'
_cell_length_a 6.526
_cell_length_b 6.526
_cell_length_c 17.723
_cell_angle_alpha 90.00
_cell_angle_beta 90.00
_cell_angle_gamma 90.00
_symmetry_space_group_name_H-M 'I -4 2 d'
_symmetry_Int_Tables_number 122
_symmetry_space_group_name_Hall 'I -4 2bw'
loop_
_atom_site_label
_atom_site_type_symbol
_atom_site_fract_x
_atom_site_fract_y
_atom_site_fract_z
In1 In 0.000 0.000 0.000
Ge1 Ge 0.000 0.000 0.500
I1 I 0.192 0.250 0.625
# Uncorrected formation energy = 0.34 eV per formula unit
# D(E_F) = 11.4 states/eV per cell
# Size of the total moment = 0.0 Bohr magnetons per cell
# E above lowest polymorph = 0.116 eV/atom